Material: Sc4Zn7Cd
Method: DFT, PBE
State: relaxed

Calculated values
The spin magnetization comes out at 0.000 μB/atom. The crystal system is triclinic. The density of states at the Fermi level is 9.77 states/eV/f.u. Its energy of formation from the pure elements is -0.22 eV per atom.

Cell: 5.5564 5.6621 7.9441 Å, 80.31 76.84 65.96°
With the nearest neighbours (Å) after each atom.
Space group P-1 (No. 2)
Symmetry-distinct sites (fractional):
Sc (0.0180, 0.1458, 0.2922)  7 Zn 2.77-3.07, 1 Cd 3.05
Sc (0.3386, 0.2442, 0.8789)  6 Zn 2.79-3.09
Zn (0.0000, 0.3423, 0.6300)  4 Zn 2.49-2.74, 1 Sc 2.77
Zn (0.1719, 0.7665, 0.0424)  4 Zn 2.47-2.72
Zn (0.4571, 0.3089, 0.2086)  4 Zn 2.47-2.72
Zn (0.5000, 0.0000, 0.5000)  4 Zn 2.65-2.74, 2 Cd 2.83
Cd (0.5000, 0.5000, 0.5000)  6 Zn 2.81-2.93, 2 Sc 3.05

Material: SrFeSi4
Method: DFT, PBE
State: relaxed

Calculated values
The value obtained for the total energy is -4.965 eV per atom. The spin magnetization comes out at 0.574 μB/atom. The crystal system is cubic. The density of states at the Fermi level is 5.91 states/eV/f.u.

Cell: 7.4695 7.4695 7.4695 Å, 90.00 90.00 90.00°
With the nearest neighbours (Å) after each atom.
Space group F-43m (No. 216)
Symmetry-distinct sites (fractional):
Sr (0.0000, 0.0000, 0.0000)  12 Si 3.10, 4 Fe 3.23
Fe (0.2500, 0.2500, 0.7500)  12 Si 3.09, 4 Sr 3.23
Si (0.1221, 0.1221, 0.3779)  6 Si 2.58-2.70

Material: Mn5AsRh6
Method: DFT, PBE
State: relaxed

Calculated values
The spin magnetization comes out at 1.837 μB/atom. The crystal system is orthorhombic. The density of states at the Fermi level is 6.93 states/eV/f.u. Its energy of formation from the pure elements is -0.26 eV per atom.

Cell: 4.3132 6.0844 12.9432 Å, 90.00 90.00 90.00°
With the nearest neighbours (Å) after each atom.
Space group Immm (No. 71)
Symmetry-distinct sites (fractional):
Mn (0.0000, 0.0000, 0.0000)  8 Rh 2.63-2.67
Mn (0.0000, 0.0000, 0.3272)  8 Rh 2.62-2.68
Mn (0.0000, 0.5000, 0.3342)  8 Rh 2.65-2.66
As (0.0000, 0.5000, 0.0000)  8 Rh 2.60-2.61
Rh (0.0000, 0.2426, 0.5000)  2 As 2.61, 6 Mn 2.66-2.68
Rh (0.0000, 0.2538, 0.1641)  1 As 2.60, 7 Mn 2.62-2.66